1.
This record from Alexandria via LeMat-Bulk describes a relaxed structure of LiScTlNi. The functional is PBE.

abc: 6.434 6.434 6.434
angles: 90.00 90.00 90.00
Space group F-43m (No. 216)
Symmetry-distinct sites (fractional):
Li: 0.000 0.000 0.000 x4
Sc: 0.250 0.250 0.250 x4
Tl: 0.250 0.250 0.750 x4
Ni: 0.000 0.000 0.500 x4

Values from the calculation:
Formation energy = -0.268 eV per atom



2.
This record from Alexandria via LeMat-Bulk describes a relaxed structure of LiTaTi2O6. The functional is PBE.

abc: 4.909 4.909 4.949
angles: 90.00 90.00 90.00
Space group P4mm (No. 99)
Symmetry-distinct sites (fractional):
Li: 0.000 0.000 0.000 x1
Ta: 0.500 0.500 0.023 x1
Ti: 0.000 0.500 0.416 x2
O: 0.000 0.000 0.619 x1
O: 0.251 0.251 0.198 x4
O: 0.500 0.500 0.640 x1

Values from the calculation:
Formation energy from raw total energies = -22.72 eV per formula unit



3.
This record from Alexandria via LeMat-Bulk describes a relaxed structure of CaAc2Pb9. The functional is PBE.

abc: 5.025 5.025 15.058
angles: 90.00 90.00 90.00
Space group P4/mmm (No. 123)
Symmetry-distinct sites (fractional):
Ca: 0.000 0.000 0.000 x1
Ac: 0.000 0.000 0.332 x2
Pb: 0.000 0.500 0.159 x4
Pb: 0.000 0.500 0.500 x2
Pb: 0.500 0.500 0.000 x1
Pb: 0.500 0.500 0.330 x2

Values from the calculation:
Formation energy = -0.379 eV per atom



4.
This record from Alexandria via LeMat-Bulk describes a relaxed structure of Mg2PW. The functional is PBE.

abc: 3.608 3.608 5.116
angles: 90.00 90.00 90.00
Space group P4/mmm (No. 123)
Symmetry-distinct sites (fractional):
Mg: 0.000 0.000 0.248 x2
P: 0.500 0.500 0.500 x1
W: 0.500 0.500 0.000 x1

Values from the calculation:
Formation energy = 0.290 eV per atom



no.,size of the total moment (μB/cell)
1,0.0
2,2.0
3,0.0
4,0.0